(1)
NbS2N after structural relaxation, computed with GGA-PBE.

a = 5.1570 Å, b = 5.1570 Å, c = 6.2760 Å
α = 65.74°, β = 65.74°, γ = 90.00°
Closest atoms and distances in Å follow each position.
Fractional positions:
Nb1 0.0000 0.0000 0.0000  4 S 2.37
Nb2 0.7500 0.2500 0.5000  4 S 2.37
S1 0.5796 0.1250 0.2500  2 N 2.10
S2 0.1704 0.6250 0.2500  2 N 2.10
S3 0.3750 0.4204 0.7500  2 N 2.10
S4 0.8750 0.8296 0.7500  2 N 2.10
N1 0.5000 0.5000 0.0000  4 S 2.10
N2 0.2500 0.7500 0.5000  4 S 2.10

Properties
Volume: 136 Å³ per cell
Formation energy (no corrections): 0.701 eV/atom
Total energy: -47.69 eV per cell



(2)
NbS2N2 after structural relaxation, computed with GGA-PBE.

a = 3.6613 Å, b = 3.6613 Å, c = 4.3588 Å
α = 90.00°, β = 90.00°, γ = 90.00°
Closest atoms and distances in Å follow each position.
Fractional positions:
Nb1 0.5000 0.5000 0.5000  4 S 2.59, 8 N 2.85
S1 0.0000 0.0000 0.0000  4 N 1.83
S2 0.0000 0.0000 0.5000  2 S 2.18
N1 0.0000 0.5000 0.0000  2 S 1.83
N2 0.5000 0.0000 0.0000  2 S 1.83

Properties
Excess energy over the best structure of this formula in the dataset: 474.4 meV per atom
Volume: 58 Å³ per cell
Formation energy (no corrections): 1.204 eV/atom
Total energy: -28.95 eV per cell



(3)
Nb3SN after structural relaxation, computed with GGA-PBE.

a = 4.2425 Å, b = 4.2425 Å, c = 4.2425 Å
α = 90.00°, β = 90.00°, γ = 90.00°
Closest atoms and distances in Å follow each position.
Fractional positions:
Nb1 0.0000 0.5000 0.0000  2 N 2.12
Nb2 0.0000 0.0000 0.5000  2 N 2.12
Nb3 0.5000 0.0000 0.0000  2 N 2.12
S1 0.5000 0.5000 0.5000  12 Nb 3.00
N1 0.0000 0.0000 0.0000  6 Nb 2.12

Properties
Excess energy over the best structure of this formula in the dataset: 0.0 meV per atom
Volume: 76 Å³ per cell
Formation energy (no corrections): -0.204 eV/atom
Total energy: -43.68 eV per cell



(4)
NbSN2 after structural relaxation, computed with GGA-PBE.

a = 6.4085 Å, b = 6.4085 Å, c = 6.4085 Å
α = 28.16°, β = 28.16°, γ = 28.16°
Closest atoms and distances in Å follow each position.
Fractional positions:
Nb1 0.5000 0.5000 0.5000  6 N 2.14
S1 0.0000 0.0000 0.0000  2 N 1.93
N1 0.8956 0.8956 0.8956  1 S 1.93, 3 Nb 2.14
N2 0.1044 0.1044 0.1044  1 S 1.93, 3 Nb 2.14

Properties
Volume: 52 Å³ per cell
Formation energy (no corrections): 0.027 eV/atom
Total energy: -30.74 eV per cell



(5)
Nb4S5N after structural relaxation, computed with GGA-PBE.

a = 3.3955 Å, b = 6.9032 Å, c = 7.8310 Å
α = 102.64°, β = 102.52°, γ = 90.00°
Closest atoms and distances in Å follow each position.
Fractional positions:
Nb1 0.6415 0.0732 0.2831  1 N 2.11
Nb2 0.9986 0.2094 0.9972  2 N 2.23, 1 S 2.46
Nb3 0.3585 0.9268 0.7169  1 N 2.11
Nb4 0.0014 0.7906 0.0028  2 N 2.23, 1 S 2.46
S1 0.1620 0.3414 0.3240  3 Nb 2.46-2.48
S2 0.1721 0.8288 0.3442  4 Nb 2.51-2.78
S3 0.8279 0.1712 0.6558  4 Nb 2.51-2.78
S4 0.5000 0.5000 0.0000  4 Nb 2.62
S5 0.8380 0.6586 0.6760  3 Nb 2.46-2.48
N1 0.5000 0.0000 0.0000  6 Nb 2.11-2.23

Properties
Volume: 175 Å³ per cell
Formation energy (no corrections): -0.972 eV/atom
Total energy: -78.96 eV per cell



(6)
Nb6S2N after structural relaxation, computed with GGA-PBE.

a = 5.6039 Å, b = 6.0564 Å, c = 8.2158 Å
α = 90.00°, β = 93.55°, γ = 90.00°
Closest atoms and distances in Å follow each position.
Fractional positions:
Nb1 0.8335 0.9660 0.2504  1 N 2.21, 2 S 2.42-2.47
Nb2 0.8435 0.6866 0.5705  1 N 2.18
Nb3 0.8308 0.6868 0.9442  1 N 2.24, 2 S 2.47-2.49
Nb4 0.6692 0.1868 0.5558  1 N 2.24, 2 S 2.47-2.49
Nb5 0.6565 0.1866 0.9295  1 N 2.18
Nb6 0.6665 0.4660 0.2496  1 N 2.21, 2 S 2.42-2.47
Nb7 0.1665 0.0340 0.7496  1 N 2.21, 2 S 2.42-2.47
Nb8 0.1565 0.3134 0.4295  1 N 2.18
Nb9 0.1692 0.3132 0.0558  1 N 2.24, 2 S 2.47-2.49
Nb10 0.3308 0.8132 0.4442  1 N 2.24, 2 S 2.47-2.49
Nb11 0.3435 0.8134 0.0705  1 N 2.18
Nb12 0.3335 0.5340 0.7504  1 N 2.21, 2 S 2.42-2.47
S1 0.9356 0.3811 0.7624  7 Nb 2.42-2.70
S2 0.5644 0.8811 0.7376  7 Nb 2.42-2.70
S3 0.4356 0.1189 0.2624  7 Nb 2.42-2.70
S4 0.0644 0.6189 0.2376  7 Nb 2.42-2.70
N1 0.5000 0.5000 0.0000  6 Nb 2.18-2.24
N2 0.0000 0.0000 0.5000  6 Nb 2.18-2.24

Properties
Volume: 278 Å³ per cell
Formation energy (no corrections): -0.615 eV/atom
Total energy: -165.06 eV per cell



(7)
NbS2N2 after structural relaxation, computed with GGA-PBE.

a = 3.9347 Å, b = 3.9347 Å, c = 5.4292 Å
α = 90.00°, β = 90.00°, γ = 90.00°
Closest atoms and distances in Å follow each position.
Fractional positions:
Nb1 0.0000 0.0000 0.0000  4 N 1.97
S1 0.5000 0.5000 0.5000  4 S 2.78
S2 0.0000 0.0000 0.5000  2 Nb 2.71, 4 S 2.78
N1 0.0000 0.5000 0.0000  2 Nb 1.97
N2 0.5000 0.0000 0.0000  2 Nb 1.97

Properties
Excess energy over the best structure of this formula in the dataset: 0.0 meV per atom
Volume: 84 Å³ per cell
Formation energy (no corrections): 0.730 eV/atom
Total energy: -31.33 eV per cell



(8)
NbS2N2 after structural relaxation, computed with GGA-PBE.

a = 4.8673 Å, b = 4.8673 Å, c = 4.0390 Å
α = 90.00°, β = 90.00°, γ = 90.00°
Closest atoms and distances in Å follow each position.
Fractional positions:
Nb1 0.0000 0.0000 0.0000  2 N 2.02
S1 0.0000 0.5000 0.0000  2 Nb 2.43
S2 0.5000 0.0000 0.0000  2 Nb 2.43
N1 0.5000 0.5000 0.5000  8 S 3.16, 4 N 3.44
N2 0.0000 0.0000 0.5000  2 Nb 2.02

Properties
Excess energy over the best structure of this formula in the dataset: 445.2 meV per atom
Volume: 96 Å³ per cell
Formation energy (no corrections): 1.175 eV/atom
Total energy: -29.10 eV per cell



(9)
NbS3N after structural relaxation, computed with GGA-PBE.

a = 4.8066 Å, b = 4.8066 Å, c = 4.8066 Å
α = 90.00°, β = 90.00°, γ = 90.00°
Closest atoms and distances in Å follow each position.
Fractional positions:
Nb1 0.0000 0.0000 0.0000  6 S 2.40
S1 0.0000 0.5000 0.0000  2 Nb 2.40
S2 0.0000 0.0000 0.5000  2 Nb 2.40
S3 0.5000 0.0000 0.0000  2 Nb 2.40
N1 0.5000 0.5000 0.5000  12 S 3.40

Properties
Excess energy over the best structure of this formula in the dataset: 9.9 meV per atom
Volume: 111 Å³ per cell
Formation energy (no corrections): 0.779 eV/atom
Total energy: -26.88 eV per cell



(10)
NbS2N after structural relaxation, computed with GGA-PBE.

a = 6.5493 Å, b = 6.5493 Å, c = 6.5493 Å
α = 30.00°, β = 30.00°, γ = 30.00°
Closest atoms and distances in Å follow each position.
Fractional positions:
Nb1 0.5000 0.5000 0.5000  6 S 2.50
S1 0.9160 0.9160 0.9160  1 N 1.57
S2 0.0840 0.0840 0.0840  1 N 1.57
N1 0.0000 0.0000 0.0000  2 S 1.57

Properties
Volume: 62 Å³ per cell
Formation energy (no corrections): 0.048 eV/atom
Total energy: -26.46 eV per cell



(11)
NbS2N2 after structural relaxation, computed with GGA-PBE.

a = 3.8144 Å, b = 3.8144 Å, c = 4.0178 Å
α = 90.00°, β = 90.00°, γ = 90.00°
Closest atoms and distances in Å follow each position.
Fractional positions:
Nb1 0.5000 0.5000 0.5000  4 N 2.70, 8 S 2.77
S1 0.0000 0.5000 0.0000  2 N 1.91
S2 0.5000 0.0000 0.0000  2 N 1.91
N1 0.0000 0.0000 0.0000  4 S 1.91, 2 N 2.01
N2 0.0000 0.0000 0.5000  2 N 2.01

Properties
Excess energy over the best structure of this formula in the dataset: 506.7 meV per atom
Volume: 58 Å³ per cell
Formation energy (no corrections): 1.236 eV/atom
Total energy: -28.79 eV per cell



(12)
NbSN2 after structural relaxation, computed with GGA-PBE.

a = 5.2974 Å, b = 5.2974 Å, c = 5.9269 Å
α = 63.46°, β = 63.46°, γ = 90.00°
Closest atoms and distances in Å follow each position.
Fractional positions:
Nb1 0.0000 0.0000 0.0000  4 N 1.96
Nb2 0.7500 0.2500 0.5000  4 N 1.96
S1 0.5000 0.5000 0.0000  4 N 2.49
S2 0.2500 0.7500 0.5000  4 N 2.49
N1 0.7097 0.1250 0.2500  2 Nb 1.96
N2 0.0403 0.6250 0.2500  2 Nb 1.96
N3 0.3750 0.2903 0.7500  2 Nb 1.96
N4 0.8750 0.9597 0.7500  2 Nb 1.96

Properties
Volume: 129 Å³ per cell
Formation energy (no corrections): 0.530 eV/atom
Total energy: -57.46 eV per cell



(13)
NbSbSN2 after structural relaxation, computed with GGA-PBE.

a = 4.0194 Å, b = 4.0194 Å, c = 4.9610 Å
α = 90.00°, β = 90.00°, γ = 90.00°
Closest atoms and distances in Å follow each position.
Fractional positions:
Sb1 0.0000 0.0000 0.0000  4 N 2.01
Nb1 0.5000 0.5000 0.5000  4 S 2.84
S1 0.0000 0.0000 0.5000  2 Sb 2.48
N1 0.0000 0.5000 0.0000  2 Sb 2.01
N2 0.5000 0.0000 0.0000  2 Sb 2.01

Properties
Excess energy over the best structure of this formula in the dataset: 920.3 meV per atom
Volume: 80 Å³ per cell
Formation energy (no corrections): 1.208 eV/atom
Total energy: -28.93 eV per cell



(14)
NbSbSN2 after structural relaxation, computed with GGA-PBE.

a = 4.0724 Å, b = 4.0724 Å, c = 5.0568 Å
α = 90.00°, β = 90.00°, γ = 90.00°
Closest atoms and distances in Å follow each position.
Fractional positions:
Sb1 0.5000 0.5000 0.5000  4 S 2.88
Nb1 0.0000 0.0000 0.0000  4 N 2.04
S1 0.0000 0.0000 0.5000  2 Nb 2.53
N1 0.0000 0.5000 0.0000  2 Nb 2.04
N2 0.5000 0.0000 0.0000  2 Nb 2.04

Properties
Excess energy over the best structure of this formula in the dataset: 0.0 meV per atom
Volume: 84 Å³ per cell
Formation energy (no corrections): 0.288 eV/atom
Total energy: -33.53 eV per cell



(15)
ScNb2SN after structural relaxation, computed with GGA-PBE.

a = 4.4984 Å, b = 4.8397 Å, c = 4.4984 Å
α = 90.00°, β = 90.00°, γ = 90.00°
Closest atoms and distances in Å follow each position.
Fractional positions:
Sc1 0.0000 0.5000 0.0000  2 S 2.42
Nb1 0.0000 0.0000 0.5000  2 S 2.25
Nb2 0.5000 0.0000 0.0000  2 S 2.25
S1 0.0000 0.0000 0.0000  4 Nb 2.25, 2 Sc 2.42
N1 0.5000 0.5000 0.5000  4 Sc 3.18, 8 Nb 3.30

Properties
Volume: 98 Å³ per cell
Formation energy (no corrections): 0.916 eV/atom
Total energy: -34.35 eV per cell



(16)
NbSeS2N after structural relaxation, computed with GGA-PBE.

a = 4.9515 Å, b = 4.9515 Å, c = 3.8889 Å
α = 90.00°, β = 90.00°, γ = 90.00°
Closest atoms and distances in Å follow each position.
Fractional positions:
Nb1 0.0000 0.0000 0.0000  2 N 1.94
S1 0.0000 0.5000 0.0000  2 Nb 2.48
S2 0.5000 0.0000 0.0000  2 Nb 2.48
Se1 0.5000 0.5000 0.5000  8 S 3.15, 4 N 3.50
N1 0.0000 0.0000 0.5000  2 Nb 1.94

Properties
Excess energy over the best structure of this formula in the dataset: 0.0 meV per atom
Volume: 95 Å³ per cell
Formation energy (no corrections): 0.310 eV/atom
Total energy: -28.58 eV per cell



(17)
NbSeSN2 after structural relaxation, computed with GGA-PBE.

a = 3.8312 Å, b = 3.8312 Å, c = 4.6292 Å
α = 90.00°, β = 90.00°, γ = 90.00°
Closest atoms and distances in Å follow each position.
Fractional positions:
Nb1 0.5000 0.5000 0.5000  4 S 2.71, 8 N 3.00
S1 0.0000 0.0000 0.5000  2 Se 2.31
Se1 0.0000 0.0000 0.0000  4 N 1.92
N1 0.0000 0.5000 0.0000  2 Se 1.92
N2 0.5000 0.0000 0.0000  2 Se 1.92

Properties
Excess energy over the best structure of this formula in the dataset: 817.5 meV per atom
Volume: 68 Å³ per cell
Formation energy (no corrections): 1.386 eV/atom
Total energy: -27.40 eV per cell



(18)
NbSeSN2 after structural relaxation, computed with GGA-PBE.

a = 3.7445 Å, b = 3.7445 Å, c = 4.6342 Å
α = 90.00°, β = 90.00°, γ = 90.00°
Closest atoms and distances in Å follow each position.
Fractional positions:
Nb1 0.5000 0.5000 0.5000  4 Se 2.65
S1 0.0000 0.0000 0.0000  4 N 1.87
Se1 0.0000 0.0000 0.5000  2 S 2.32
N1 0.0000 0.5000 0.0000  2 S 1.87
N2 0.5000 0.0000 0.0000  2 S 1.87

Properties
Excess energy over the best structure of this formula in the dataset: 842.6 meV per atom
Volume: 65 Å³ per cell
Formation energy (no corrections): 1.412 eV/atom
Total energy: -27.27 eV per cell



(19)
NbSeS2N after structural relaxation, computed with GGA-PBE.

a = 4.8644 Å, b = 4.8644 Å, c = 3.5934 Å
α = 90.00°, β = 90.00°, γ = 90.00°
Closest atoms and distances in Å follow each position.
Fractional positions:
Nb1 0.5000 0.5000 0.5000  8 S 3.02
S1 0.0000 0.5000 0.0000  2 Se 2.43
S2 0.5000 0.0000 0.0000  2 Se 2.43
Se1 0.0000 0.0000 0.0000  2 N 1.80
N1 0.0000 0.0000 0.5000  2 Se 1.80

Properties
Excess energy over the best structure of this formula in the dataset: 715.3 meV per atom
Volume: 85 Å³ per cell
Formation energy (no corrections): 1.025 eV/atom
Total energy: -25.01 eV per cell



(20)
NbSeSN2 after structural relaxation, computed with GGA-PBE.

a = 3.9769 Å, b = 3.9769 Å, c = 5.3675 Å
α = 90.00°, β = 90.00°, γ = 90.00°
Closest atoms and distances in Å follow each position.
Fractional positions:
Nb1 0.0000 0.0000 0.0000  4 N 1.99
S1 0.0000 0.0000 0.5000  2 Nb 2.68, 4 Se 2.81
Se1 0.5000 0.5000 0.5000  4 S 2.81
N1 0.0000 0.5000 0.0000  2 Nb 1.99
N2 0.5000 0.0000 0.0000  2 Nb 1.99

Properties
Excess energy over the best structure of this formula in the dataset: 0.0 meV per atom
Volume: 85 Å³ per cell
Formation energy (no corrections): 0.569 eV/atom
Total energy: -31.49 eV per cell